Crystalline Ce2PaAg at its relaxed geometry, computed with GGA-PBE.

Calculated values
space group: P4/mmm (123)
ΔE_f: 0.00 eV per atom
E above lowest polymorph: 0.021 eV per atom

a b c (Å): 3.170 3.170 9.707
angles (deg): 90.00 90.00 90.00
Sites, in units of the cell vectors:
1 Ce 0.000 0.000 0.245
2 Ce 0.000 0.000 0.755
3 Pa 0.500 0.500 0.500
4 Ag 0.500 0.500 0.000

=====

Crystalline CePaAgSn at its relaxed geometry, computed with GGA-PBE.

Calculated values
space group: F-43m (216)
ΔE_f: -0.03 eV per atom

a b c (Å): 5.322 5.322 5.322
angles (deg): 60.00 60.00 60.00
Sites, in units of the cell vectors:
1 Ce 0.000 0.000 0.000
2 Pa 0.500 0.500 0.500
3 Ag 0.250 0.250 0.250
4 Sn 0.750 0.750 0.750

=====

Crystalline CeAgPb at its relaxed geometry, computed with GGA-PBE.

Calculated values
space group: Pnma (62)
ΔE_f: -0.13 eV per atom

a b c (Å): 9.671 5.058 6.879
angles (deg): 90.00 90.00 90.00
Sites, in units of the cell vectors:
1 Ce 0.219 0.250 0.140
2 Ce 0.281 0.750 0.640
3 Ce 0.719 0.250 0.360
4 Ce 0.781 0.750 0.860
5 Ag 0.085 0.750 0.975
6 Ag 0.415 0.250 0.475
7 Ag 0.585 0.750 0.525
8 Ag 0.915 0.250 0.025
9 Pb 0.044 0.250 0.637
10 Pb 0.456 0.750 0.137
11 Pb 0.544 0.250 0.863
12 Pb 0.956 0.750 0.363

=====

Crystalline Ce5AgPb4 at its relaxed geometry, computed with GGA-PBE.

Calculated values
space group: P4/mmm (123)
ΔE_f: -0.32 eV per atom

a b c (Å): 4.181 4.181 16.403
angles (deg): 90.00 90.00 90.00
Sites, in units of the cell vectors:
1 Ce 0.000 0.000 0.000
2 Ce 0.000 0.000 0.205
3 Ce 0.000 0.000 0.404
4 Ce 0.000 0.000 0.596
5 Ce 0.000 0.000 0.795
6 Ag 0.500 0.500 0.500
7 Pb 0.500 0.500 0.102
8 Pb 0.500 0.500 0.308
9 Pb 0.500 0.500 0.692
10 Pb 0.500 0.500 0.898

=====

Crystalline Ce6Ag2Pb at its relaxed geometry, computed with GGA-PBE.

Calculated values
space group: P-1 (2)
ΔE_f: -0.10 eV per atom

a b c (Å): 5.905 5.922 6.914
angles (deg): 101.43 93.73 99.22
Sites, in units of the cell vectors:
1 Ce 0.027 0.199 0.353
2 Ce 0.165 0.652 0.120
3 Ce 0.311 0.514 0.656
4 Ce 0.689 0.486 0.344
5 Ce 0.835 0.348 0.880
6 Ce 0.973 0.801 0.647
7 Ag 0.328 0.144 0.970
8 Ag 0.672 0.856 0.030
9 Pb 0.500 0.000 0.500

=====

Crystalline Ce5AgPb6 at its relaxed geometry, computed with GGA-PBE.

Calculated values
space group: Immm (71)
ΔE_f: -0.33 eV per atom

a b c (Å): 9.298 9.298 9.298
angles (deg): 149.52 120.49 68.33
Sites, in units of the cell vectors:
1 Ce 0.000 0.000 0.000
2 Ce 0.164 0.664 0.500
3 Ce 0.350 0.350 0.000
4 Ce 0.650 0.650 0.000
5 Ce 0.836 0.336 0.500
6 Ag 0.500 0.000 0.500
7 Pb 0.082 0.831 0.251
8 Pb 0.254 0.500 0.754
9 Pb 0.420 0.169 0.251
10 Pb 0.580 0.831 0.749
11 Pb 0.746 0.500 0.246
12 Pb 0.918 0.169 0.749

=====

Crystalline Ce2AgPb at its relaxed geometry, computed with GGA-PBE.

Calculated values
space group: P4/mmm (123)
ΔE_f: -0.20 eV per atom
E above lowest polymorph: 0.037 eV per atom

a b c (Å): 4.103 4.103 6.514
angles (deg): 90.00 90.00 90.00
Sites, in units of the cell vectors:
1 Ce 0.000 0.000 0.245
2 Ce 0.000 0.000 0.755
3 Ag 0.500 0.500 0.000
4 Pb 0.500 0.500 0.500

=====

Crystalline Ce2Ag3Pb at its relaxed geometry, computed with GGA-PBE.

Calculated values
space group: Fmmm (69)
ΔE_f: -0.22 eV per atom

a b c (Å): 10.052 9.310 6.003
angles (deg): 78.82 65.31 35.86
Sites, in units of the cell vectors:
1 Ce 0.239 0.761 0.761
2 Ce 0.250 0.250 0.250
3 Ce 0.750 0.750 0.750
4 Ce 0.761 0.239 0.239
5 Ag 0.164 0.164 0.836
6 Ag 0.164 0.673 0.327
7 Ag 0.327 0.836 0.164
8 Ag 0.673 0.164 0.836
9 Ag 0.836 0.327 0.673
10 Ag 0.836 0.836 0.164
11 Pb 0.335 0.335 0.665
12 Pb 0.665 0.665 0.335